No. 1
{
  "formula": "NaZrTe3Au",
  "functional": "PBE",
  "state": "optimized geometry",
  "spacegroup": "No. 11",
  "magnetic_moment_mub_per_fu": 0.01,
  "mass_density_g_cm3": 6.80,
  "e_above_lowest_polymorph_ev_per_fu": 0.00,
  "lattice_angstrom": [[8.268, 0.000, 0.000], [0.000, 4.128, 0.000], [-3.100, 0.000, 9.923]],
  "species": ["Na", "Na", "Zr", "Zr", "Te", "Te", "Te", "Te", "Te", "Te", "Au", "Au"],
  "frac_coords": [[0.248, 0.250, 0.213], [0.752, 0.750, 0.787], [0.198, 0.750, 0.681], [0.802, 0.250, 0.319], [0.072, 0.750, 0.374], [0.210, 0.750, 0.959], [0.430, 0.250, 0.640], [0.570, 0.750, 0.360], [0.790, 0.250, 0.041], [0.928, 0.250, 0.626], [0.411, 0.250, 0.898], [0.589, 0.750, 0.102]]
}


No. 2
{
  "formula": "ErTmMg2",
  "functional": "PBE",
  "state": "optimized geometry",
  "spacegroup": "No. 38",
  "magnetic_moment_mub_per_fu": 0.03,
  "mass_density_g_cm3": 5.92,
  "e_above_lowest_polymorph_ev_per_fu": 0.30,
  "lattice_angstrom": [[5.434, 0.000, 0.000], [0.000, 3.422, 5.808], [0.000, -3.422, 5.808]],
  "species": ["Er", "Er", "Tm", "Tm", "Mg", "Mg", "Mg", "Mg"],
  "frac_coords": [[0.000, 0.000, 0.000], [0.500, 0.337, 0.337], [0.500, 0.341, 0.834], [0.500, 0.834, 0.341], [0.000, 0.504, 0.998], [0.000, 0.506, 0.506], [0.000, 0.998, 0.504], [0.500, 0.839, 0.839]]
}


No. 3
{
  "formula": "Zn2InPt",
  "functional": "PBE",
  "state": "optimized geometry",
  "spacegroup": "No. 216",
  "magnetic_moment_mub_per_fu": 0.00,
  "final_energy_ev_per_atom": -2.983,
  "mass_density_g_cm3": 11.04,
  "lattice_angstrom": [[0.000, 3.212, 3.212], [3.212, 0.000, 3.212], [3.212, 3.212, 0.000]],
  "species": ["Zn", "Zn", "In", "Pt"],
  "frac_coords": [[0.000, 0.000, 0.000], [0.250, 0.250, 0.250], [0.500, 0.500, 0.500], [0.750, 0.750, 0.750]]
}


No. 4
{
  "formula": "YLuGa",
  "functional": "PBE",
  "state": "optimized geometry",
  "spacegroup": "No. 216",
  "magnetic_moment_mub_per_fu": 0.01,
  "mass_density_g_cm3": 6.30,
  "e_above_lowest_polymorph_ev_per_fu": 0.00,
  "lattice_angstrom": [[0.000, 3.530, 3.530], [3.530, 0.000, 3.530], [3.530, 3.530, 0.000]],
  "species": ["Y", "Lu", "Ga"],
  "frac_coords": [[0.000, 0.000, 0.000], [0.250, 0.250, 0.250], [0.750, 0.750, 0.750]]
}


No. 5
{
  "formula": "ZrGaFeAu",
  "functional": "PBE",
  "state": "optimized geometry",
  "spacegroup": "No. 216",
  "magnetic_moment_mub_per_fu": 1.73,
  "mass_density_g_cm3": 10.25,
  "e_above_lowest_polymorph_ev_per_fu": 0.00,
  "lattice_angstrom": [[0.000, 3.224, 3.224], [3.224, 0.000, 3.224], [3.224, 3.224, 0.000]],
  "species": ["Zr", "Ga", "Fe", "Au"],
  "frac_coords": [[0.000, 0.000, 0.000], [0.500, 0.500, 0.500], [0.750, 0.750, 0.750], [0.250, 0.250, 0.250]]
}


No. 6
{
  "formula": "ErInPt",
  "functional": "PBE",
  "state": "optimized geometry",
  "spacegroup": "No. 189",
  "magnetic_moment_mub_per_fu": 0.00,
  "final_energy_ev_per_atom": -5.173,
  "mass_density_g_cm3": 12.36,
  "lattice_angstrom": [[7.220, 0.000, 0.000], [-3.610, 6.253, 0.000], [0.000, 0.000, 4.258]],
  "species": ["Er", "Er", "Er", "In", "In", "In", "Pt", "Pt", "Pt"],
  "frac_coords": [[0.000, 0.575, 0.000], [0.425, 0.425, 0.000], [0.575, 0.000, 0.000], [0.000, 0.000, 0.000], [0.333, 0.667, 0.500], [0.667, 0.333, 0.500], [0.000, 0.248, 0.500], [0.248, 0.000, 0.500], [0.752, 0.752, 0.500]]
}


No. 7
{
  "formula": "TbAlGe",
  "functional": "PBE",
  "state": "optimized geometry",
  "spacegroup": "No. 189",
  "magnetic_moment_mub_per_fu": 0.00,
  "final_energy_ev_per_atom": -4.913,
  "mass_density_g_cm3": 6.93,
  "lattice_angstrom": [[7.162, 0.000, 0.000], [-3.581, 6.202, 0.000], [0.000, 0.000, 4.181]],
  "species": ["Tb", "Tb", "Tb", "Al", "Al", "Al", "Ge", "Ge", "Ge"],
  "frac_coords": [[0.000, 0.390, 0.000], [0.390, 0.000, 0.000], [0.610, 0.610, 0.000], [0.000, 0.744, 0.500], [0.256, 0.256, 0.500], [0.744, 0.000, 0.500], [0.000, 0.000, 0.000], [0.333, 0.667, 0.500], [0.667, 0.333, 0.500]]
}


No. 8
{
  "formula": "Gd3DyC2S2",
  "functional": "PBE",
  "state": "optimized geometry",
  "spacegroup": "No. 156",
  "magnetic_moment_mub_per_fu": 0.00,
  "final_energy_ev_per_atom": -6.876,
  "mass_density_g_cm3": 7.59,
  "lattice_angstrom": [[3.740, 0.000, 0.000], [-1.870, 3.239, 0.000], [0.000, 0.000, 13.040]],
  "species": ["Gd", "Gd", "Gd", "Dy", "C", "C", "S", "S"],
  "frac_coords": [[0.000, 0.000, 0.000], [0.000, 0.000, 0.291], [0.333, 0.667, 0.790], [0.333, 0.667, 0.500], [0.667, 0.333, 0.396], [0.667, 0.333, 0.895], [0.000, 0.000, 0.643], [0.333, 0.667, 0.145]]
}


No. 9
{
  "formula": "In3PtN",
  "functional": "PBE",
  "state": "optimized geometry",
  "spacegroup": "No. 221",
  "magnetic_moment_mub_per_fu": 0.01,
  "final_energy_ev_per_atom": -4.097,
  "mass_density_g_cm3": 9.66,
  "lattice_angstrom": [[4.566, 0.000, 0.000], [0.000, 4.566, 0.000], [0.000, 0.000, 4.566]],
  "species": ["In", "In", "In", "Pt", "N"],
  "frac_coords": [[0.000, 0.000, 0.500], [0.000, 0.500, 0.000], [0.500, 0.000, 0.000], [0.500, 0.500, 0.500], [0.000, 0.000, 0.000]]
}


No. 10
{
  "formula": "YHoGa2Cu4",
  "functional": "PBE",
  "state": "optimized geometry",
  "spacegroup": "No. 187",
  "magnetic_moment_mub_per_fu": 0.02,
  "final_energy_ev_per_atom": -4.368,
  "mass_density_g_cm3": 7.86,
  "lattice_angstrom": [[4.263, 0.000, 0.000], [-2.132, 3.692, 0.000], [0.000, 0.000, 8.687]],
  "species": ["Y", "Ho", "Ga", "Ga", "Cu", "Cu", "Cu", "Cu"],
  "frac_coords": [[0.000, 0.000, 0.000], [0.667, 0.333, 0.500], [0.333, 0.667, 0.250], [0.333, 0.667, 0.750], [0.000, 0.000, 0.331], [0.000, 0.000, 0.669], [0.667, 0.333, 0.175], [0.667, 0.333, 0.825]]
}


No. 11
{
  "formula": "SmThMg",
  "functional": "PBE",
  "state": "optimized geometry",
  "spacegroup": "No. 216",
  "magnetic_moment_mub_per_fu": 0.01,
  "mass_density_g_cm3": 6.60,
  "e_above_lowest_polymorph_ev_per_fu": 0.00,
  "lattice_angstrom": [[0.000, 3.712, 3.712], [3.712, 0.000, 3.712], [3.712, 3.712, 0.000]],
  "species": ["Sm", "Th", "Mg"],
  "frac_coords": [[0.000, 0.000, 0.000], [0.500, 0.500, 0.500], [0.250, 0.250, 0.250]]
}


No. 12
{
  "formula": "PrNdCu2Sb2As2",
  "functional": "PBE",
  "state": "optimized geometry",
  "spacegroup": "No. 99",
  "magnetic_moment_mub_per_fu": 0.00,
  "final_energy_ev_per_atom": -5.071,
  "mass_density_g_cm3": 7.47,
  "lattice_angstrom": [[4.193, 0.000, 0.000], [0.000, 4.193, 0.000], [0.000, 0.000, 10.184]],
  "species": ["Pr", "Nd", "Cu", "Cu", "Sb", "Sb", "As", "As"],
  "frac_coords": [[0.000, 0.000, 0.000], [0.500, 0.500, 0.517], [0.000, 0.500, 0.758], [0.500, 0.000, 0.758], [0.000, 0.500, 0.259], [0.500, 0.000, 0.259], [0.000, 0.000, 0.612], [0.500, 0.500, 0.905]]
}


No. 13
{
  "formula": "NbAuNO",
  "functional": "PBE",
  "state": "optimized geometry",
  "spacegroup": "No. 129",
  "magnetic_moment_mub_per_fu": 0.00,
  "mass_density_g_cm3": 10.32,
  "e_above_lowest_polymorph_ev_per_fu": 2.56,
  "lattice_angstrom": [[4.149, 0.000, 0.000], [0.000, 4.149, 0.000], [0.000, 0.000, 5.979]],
  "species": ["Nb", "Nb", "Au", "Au", "N", "N", "O", "O"],
  "frac_coords": [[0.250, 0.750, 0.000], [0.750, 0.250, 0.000], [0.250, 0.250, 0.338], [0.750, 0.750, 0.662], [0.250, 0.250, 0.917], [0.750, 0.750, 0.083], [0.250, 0.750, 0.500], [0.750, 0.250, 0.500]]
}


No. 14
{
  "formula": "Nd3Si4Pd2Au2",
  "functional": "PBE",
  "state": "optimized geometry",
  "spacegroup": "No. 71",
  "magnetic_moment_mub_per_fu": 0.02,
  "mass_density_g_cm3": 8.49,
  "e_above_lowest_polymorph_ev_per_fu": 0.70,
  "lattice_angstrom": [[-2.121, 2.135, 12.440], [2.121, -2.135, 12.440], [2.121, 2.135, -12.440]],
  "species": ["Nd", "Nd", "Nd", "Si", "Si", "Si", "Si", "Pd", "Pd", "Au", "Au"],
  "frac_coords": [[0.000, 0.000, 0.000], [0.354, 0.854, 0.500], [0.646, 0.146, 0.500], [0.190, 0.690, 0.500], [0.452, 0.452, 0.000], [0.548, 0.548, 0.000], [0.810, 0.310, 0.500], [0.094, 0.594, 0.500], [0.906, 0.406, 0.500], [0.249, 0.249, 0.000], [0.751, 0.751, 0.000]]
}


No. 15
{
  "formula": "CdSn",
  "functional": "PBE",
  "state": "optimized geometry",
  "spacegroup": "No. 221",
  "final_energy_ev_per_atom": -2.360,
  "mass_density_g_cm3": 7.61,
  "lattice_angstrom": [[3.694, 0.000, 0.000], [0.000, 3.694, 0.000], [0.000, 0.000, 3.694]],
  "species": ["Cd", "Sn"],
  "frac_coords": [[0.000, 0.000, 0.000], [0.500, 0.500, 0.500]]
}


No. 16
{
  "formula": "CuAsPdW",
  "functional": "PBE",
  "state": "optimized geometry",
  "spacegroup": "No. 216",
  "magnetic_moment_mub_per_fu": 1.83,
  "mass_density_g_cm3": 11.41,
  "e_above_lowest_polymorph_ev_per_fu": 1.58,
  "lattice_angstrom": [[0.000, 3.148, 3.148], [3.148, 0.000, 3.148], [3.148, 3.148, 0.000]],
  "species": ["Cu", "As", "Pd", "W"],
  "frac_coords": [[0.000, 0.000, 0.000], [0.750, 0.750, 0.750], [0.500, 0.500, 0.500], [0.250, 0.250, 0.250]]
}


No. 17
{
  "formula": "CsHoAg",
  "functional": "PBE",
  "state": "optimized geometry",
  "spacegroup": "No. 216",
  "magnetic_moment_mub_per_fu": 0.19,
  "mass_density_g_cm3": 5.81,
  "e_above_lowest_polymorph_ev_per_fu": 0.00,
  "lattice_angstrom": [[0.000, 3.871, 3.871], [3.871, 0.000, 3.871], [3.871, 3.871, 0.000]],
  "species": ["Cs", "Ho", "Ag"],
  "frac_coords": [[0.000, 0.000, 0.000], [0.250, 0.250, 0.250], [0.500, 0.500, 0.500]]
}


No. 18
{
  "formula": "Tb3Ga3GePd2",
  "functional": "PBE",
  "state": "optimized geometry",
  "spacegroup": "No. 189",
  "magnetic_moment_mub_per_fu": 0.00,
  "mass_density_g_cm3": 8.78,
  "e_above_lowest_polymorph_ev_per_fu": 0.00,
  "lattice_angstrom": [[7.475, 0.000, 0.000], [-3.737, 6.473, 0.000], [0.000, 0.000, 3.797]],
  "species": ["Tb", "Tb", "Tb", "Ga", "Ga", "Ga", "Ge", "Pd", "Pd"],
  "frac_coords": [[0.000, 0.396, 0.000], [0.396, 0.000, 0.000], [0.604, 0.604, 0.000], [0.000, 0.732, 0.500], [0.268, 0.268, 0.500], [0.732, 0.000, 0.500], [0.000, 0.000, 0.000], [0.333, 0.667, 0.500], [0.667, 0.333, 0.500]]
}


No. 19
{
  "formula": "Ta2PdO4",
  "functional": "PBE",
  "state": "optimized geometry",
  "spacegroup": "No. 227",
  "magnetic_moment_mub_per_fu": 0.00,
  "final_energy_ev_per_atom": -8.617,
  "mass_density_g_cm3": 9.85,
  "lattice_angstrom": [[0.000, 4.477, 4.477], [4.477, 0.000, 4.477], [4.477, 4.477, 0.000]],
  "species": ["Ta", "Ta", "Ta", "Ta", "Pd", "Pd", "O", "O", "O", "O", "O", "O", "O", "O"],
  "frac_coords": [[0.000, 0.000, 0.000], [0.000, 0.000, 0.500], [0.000, 0.500, 0.000], [0.500, 0.000, 0.000], [0.375, 0.375, 0.375], [0.625, 0.625, 0.625], [0.194, 0.769, 0.769], [0.231, 0.231, 0.231], [0.231, 0.231, 0.806], [0.231, 0.806, 0.231], [0.769, 0.194, 0.769], [0.769, 0.769, 0.194], [0.769, 0.769, 0.769], [0.806, 0.231, 0.231]]
}


No. 20
{
  "formula": "AlZnPb2",
  "functional": "PBE",
  "state": "optimized geometry",
  "spacegroup": "No. 216",
  "final_energy_ev_per_atom": -2.834,
  "mass_density_g_cm3": 8.22,
  "lattice_angstrom": [[0.000, 3.712, 3.712], [3.712, 0.000, 3.712], [3.712, 3.712, 0.000]],
  "species": ["Al", "Zn", "Pb", "Pb"],
  "frac_coords": [[0.000, 0.000, 0.000], [0.250, 0.250, 0.250], [0.500, 0.500, 0.500], [0.750, 0.750, 0.750]]
}